Entry 1:
First-principles (PBE) data for an optimized crystal structure of AgIrS2, as listed in Alexandria via LeMat-Bulk.

Cell and atoms, written as extended XYZ:
```
8
Lattice="2.609 -6.032 0.000 2.609 6.032 0.000 -0.564 0.000 5.319" Properties=species:S:1:pos:R:3 pbc="T T T"
Ag 2.186 3.567 3.989
Ag 2.468 -3.567 1.330
Ir 2.468 0.319 1.330
Ir 2.186 -0.319 3.989
S 0.930 1.439 4.961
S 1.212 -1.439 2.302
S 3.441 1.439 3.017
S 3.723 -1.439 0.358
```

Properties
The final energy is -4.93 eV per atom. Its size of the total moment is 0.0 μB per formula unit. As for the space group: No. 15.

***

Entry 2:
First-principles (PBE) data for an optimized crystal structure of AgIrS2, as listed in Alexandria via LeMat-Bulk.

Cell and atoms, written as extended XYZ:
```
4
Lattice="3.562 0.000 0.000 -1.781 3.084 0.000 0.000 0.000 6.882" Properties=species:S:1:pos:R:3 pbc="T T T"
Ag 0.000 0.000 0.000
Ir 1.781 1.028 3.614
S 0.000 0.000 2.463
S 0.000 2.056 4.906
```

Properties
The final energy is -5.17 eV per atom. Its size of the total moment is 0.0 μB per formula unit. As for the space group: No. 156.

***

Entry 3:
First-principles (PBE) data for an optimized crystal structure of AgIrS2, as listed in Alexandria via LeMat-Bulk.

Cell and atoms, written as extended XYZ:
```
8
Lattice="-2.506 2.506 5.592 2.506 -2.506 5.592 2.506 2.506 -5.592" Properties=species:S:1:pos:R:3 pbc="T T T"
Ag 2.506 1.253 1.398
Ag 0.000 1.253 4.194
Ir 2.506 -1.253 4.194
Ir 0.000 3.759 1.398
S 2.506 1.253 -1.827
S 0.000 1.253 0.969
S 2.506 1.253 4.623
S 0.000 1.253 7.419
```

Properties
The final energy is -4.92 eV per atom. Its size of the total moment is 0.0 μB per formula unit. As for the space group: No. 141.

***

Entry 4:
First-principles (PBE) data for an optimized crystal structure of AgIrS2, as listed in Alexandria via LeMat-Bulk.

Cell and atoms, written as extended XYZ:
```
8
Lattice="1.499 -11.003 0.000 1.499 11.003 0.000 0.000 0.000 4.322" Properties=species:S:1:pos:R:3 pbc="T T T"
Ag 1.499 10.076 3.241
Ag 1.499 -10.076 1.080
Ir 1.499 4.120 3.241
Ir 1.499 -4.120 1.080
S 1.499 8.717 1.080
S 1.499 6.461 3.241
S 1.499 -6.461 1.080
S 1.499 -8.717 3.241
```

Properties
The final energy is -4.83 eV per atom. Its size of the total moment is 0.0 μB per formula unit. As for the space group: No. 63.

***

Entry 5:
First-principles (PBE) data for an optimized crystal structure of AgIr3S, as listed in Alexandria via LeMat-Bulk.

Cell and atoms, written as extended XYZ:
```
5
Lattice="4.403 0.000 0.000 0.000 4.403 0.000 0.000 0.000 4.403" Properties=species:S:1:pos:R:3 pbc="T T T"
Ag 0.000 0.000 0.000
Ir 0.000 2.202 2.202
Ir 2.202 0.000 2.202
Ir 2.202 2.202 0.000
S 2.202 2.202 2.202
```

Properties
Its size of the total moment is 0.0 μB per formula unit. Its energy above the most stable polymorph in this dataset is 0.00 eV per formula unit. As for the space group: No. 221.

***

Entry 6:
First-principles (PBE) data for an optimized crystal structure of AgIrS2, as listed in Alexandria via LeMat-Bulk.

Cell and atoms, written as extended XYZ:
```
16
Lattice="7.496 0.000 0.000 0.000 3.553 0.000 0.000 0.000 12.092" Properties=species:S:1:pos:R:3 pbc="T T T"
Ag 0.287 0.888 1.188
Ag 3.461 2.664 7.235
Ag 4.035 0.888 4.858
Ag 7.209 2.664 10.904
Ir 0.386 2.664 4.617
Ir 3.362 0.888 10.664
Ir 4.134 2.664 1.429
Ir 7.110 0.888 7.475
S 1.029 2.664 6.851
S 1.771 0.888 3.977
S 1.977 2.664 10.023
S 2.719 0.888 0.805
S 4.776 2.664 11.288
S 5.519 0.888 2.069
S 5.725 2.664 8.115
S 6.467 0.888 5.241
```

Properties
The final energy is -5.05 eV per atom. Its size of the total moment is 0.0 μB per formula unit. As for the space group: No. 62.

***

Entry 7:
First-principles (PBE) data for an optimized crystal structure of AgIrS2, as listed in Alexandria via LeMat-Bulk.

Cell and atoms, written as extended XYZ:
```
4
Lattice="4.529 0.000 0.000 0.000 4.529 0.000 0.000 0.000 3.020" Properties=species:S:1:pos:R:3 pbc="T T T"
Ag 0.000 0.000 0.000
Ir 2.265 2.265 0.000
S 0.000 2.265 1.510
S 2.265 0.000 1.510
```

Properties
The final energy is -4.45 eV per atom. Its size of the total moment is 0.0 μB per formula unit. As for the space group: No. 123.

***

Entry 8:
First-principles (PBE) data for an optimized crystal structure of AgIr5S8, as listed in Alexandria via LeMat-Bulk.

Cell and atoms, written as extended XYZ:
```
14
Lattice="0.000 5.021 5.021 5.021 0.000 5.021 5.021 5.021 0.000" Properties=species:S:1:pos:R:3 pbc="T T T"
Ag 0.000 0.000 0.000
Ir 6.290 3.753 3.753
Ir 2.511 2.511 2.511
Ir 3.753 6.290 3.753
Ir 3.753 3.753 6.290
Ir 6.290 6.290 6.290
S 3.864 3.864 3.864
S 6.179 6.179 3.864
S 6.179 3.864 6.179
S 8.629 6.434 6.434
S 3.864 6.179 6.179
S 6.434 8.629 6.434
S 6.434 6.434 8.629
S 8.629 8.629 8.629
```

Properties
The final energy is -5.97 eV per atom. Its size of the total moment is 0.0 μB per formula unit. As for the space group: No. 216.

***

Entry 9:
First-principles (PBE) data for an optimized crystal structure of AgIrS2, as listed in Alexandria via LeMat-Bulk.

Cell and atoms, written as extended XYZ:
```
4
Lattice="3.509 0.000 0.000 -1.755 3.039 0.000 0.000 0.000 7.335" Properties=species:S:1:pos:R:3 pbc="T T T"
Ag 0.000 0.000 0.000
Ir 0.000 2.026 3.566
S 0.000 2.026 5.808
S 1.755 1.013 2.461
```

Properties
The final energy is -4.80 eV per atom. Its size of the total moment is 0.0 μB per formula unit. As for the space group: No. 156.

***

Entry 10:
First-principles (PBE) data for an optimized crystal structure of AgIrS2, as listed in Alexandria via LeMat-Bulk.

Cell and atoms, written as extended XYZ:
```
16
Lattice="6.589 0.000 0.000 0.000 8.142 0.000 0.000 0.000 5.827" Properties=species:S:1:pos:R:3 pbc="T T T"
Ag 0.210 0.730 0.000
Ag 3.084 4.801 2.913
Ag 3.504 3.341 0.000
Ag 6.378 7.412 2.913
Ir 0.524 3.364 2.735
Ir 2.770 7.435 5.649
Ir 3.818 0.707 2.735
Ir 6.065 4.778 5.649
S 0.780 6.536 0.476
S 0.898 3.089 0.509
S 2.396 7.160 3.422
S 2.514 2.465 3.389
S 4.074 5.677 0.476
S 4.193 0.981 0.509
S 5.690 5.052 3.422
S 5.809 1.606 3.389
```

Properties
The final energy is -4.96 eV per atom. Its size of the total moment is 0.0 μB per formula unit. As for the space group: No. 33.

***

Entry 11:
First-principles (PBE) data for an optimized crystal structure of AgIr2S, as listed in Alexandria via LeMat-Bulk.

Cell and atoms, written as extended XYZ:
```
8
Lattice="-3.450 3.450 2.749 3.450 -3.450 2.749 3.450 3.450 -2.749" Properties=species:S:1:pos:R:3 pbc="T T T"
Ag 0.000 0.000 0.000
Ag 0.000 3.450 1.374
Ir 1.725 2.235 -0.687
Ir 4.665 1.725 0.687
Ir 1.725 1.215 2.062
Ir -1.215 1.725 3.436
S 3.450 0.000 1.374
S 0.000 0.000 2.749
```

Properties
The final energy is -5.73 eV per atom. Its size of the total moment is 0.0 μB per formula unit. As for the space group: No. 122.

***

Entry 12:
First-principles (PBE) data for an optimized crystal structure of AgIrS2, as listed in Alexandria via LeMat-Bulk.

Cell and atoms, written as extended XYZ:
```
16
Lattice="7.375 0.000 0.000 0.000 4.851 0.000 -5.665 0.000 8.729" Properties=species:S:1:pos:R:3 pbc="T T T"
Ag 1.358 0.123 0.410
Ag -1.475 2.303 4.774
Ag 3.185 2.548 3.955
Ag 0.353 4.728 8.319
Ir -3.587 1.171 6.481
Ir -0.754 1.254 2.117
Ir 2.465 3.597 6.612
Ir 5.297 3.679 2.247
S -2.923 2.992 7.574
S -0.090 4.284 3.210
S 1.085 2.626 2.343
S -1.747 4.650 6.707
S 3.458 0.201 2.021
S 0.625 2.225 6.385
S 1.801 0.567 5.519
S 4.633 1.859 1.155
```

Properties
The final energy is -4.91 eV per atom. Its size of the total moment is 0.0 μB per formula unit. As for the space group: No. 14.

***

Entry 13:
First-principles (PBE) data for an optimized crystal structure of AgIrS2, as listed in Alexandria via LeMat-Bulk.

Cell and atoms, written as extended XYZ:
```
8
Lattice="6.986 0.000 0.000 0.000 3.603 0.000 -1.034 0.000 6.184" Properties=species:S:1:pos:R:3 pbc="T T T"
Ag 0.000 0.000 0.000
Ag -0.517 0.000 3.092
Ir 3.234 0.898 1.546
Ir 2.717 2.704 4.638
S 1.739 0.871 3.405
S 2.256 2.732 0.313
S 3.695 0.871 5.871
S 4.212 2.732 2.779
```

Properties
The final energy is -5.23 eV per atom. Its size of the total moment is 0.0 μB per formula unit. As for the space group: No. 13.

***

Entry 14:
First-principles (PBE) data for an optimized crystal structure of AgIrS2, as listed in Alexandria via LeMat-Bulk.

Cell and atoms, written as extended XYZ:
```
8
Lattice="3.732 -3.313 0.000 3.732 3.313 0.000 -2.913 0.000 5.700" Properties=species:S:1:pos:R:3 pbc="T T T"
Ag 1.547 2.944 4.275
Ag 3.004 -2.944 1.425
Ir 3.004 0.892 1.425
Ir 1.547 -0.892 4.275
S 0.005 0.909 4.764
S 1.462 -0.909 1.914
S 3.089 0.909 3.786
S 4.545 -0.909 0.936
```

Properties
The final energy is -4.97 eV per atom. Its size of the total moment is 0.0 μB per formula unit. As for the space group: No. 15.

***

Entry 15:
First-principles (PBE) data for an optimized crystal structure of AgIr2S4, as listed in Alexandria via LeMat-Bulk.

Cell and atoms, written as extended XYZ:
```
14
Lattice="-3.604 3.604 5.114 3.604 -3.604 5.114 3.604 3.604 -5.114" Properties=species:S:1:pos:R:3 pbc="T T T"
Ag 3.604 1.802 1.279
Ag 0.000 1.802 3.836
Ir 0.000 0.000 0.000
Ir 1.802 1.802 -2.557
Ir 1.802 -1.802 2.557
Ir 0.000 3.604 0.000
S 3.604 3.361 -2.738
S 1.559 1.802 -0.181
S 2.044 -1.802 4.933
S 3.604 -0.242 2.738
S 0.000 3.846 2.376
S 1.559 5.406 0.181
S 2.044 1.802 5.295
S 0.000 0.242 7.853
```

Properties
The final energy is -5.61 eV per atom. Its size of the total moment is 0.0 μB per formula unit. As for the space group: No. 141.

***

Entry 16:
First-principles (PBE) data for an optimized crystal structure of AgIrS2, as listed in Alexandria via LeMat-Bulk.

Cell and atoms, written as extended XYZ:
```
4
Lattice="3.590 0.000 0.000 0.000 3.590 0.000 0.000 0.000 5.155" Properties=species:S:1:pos:R:3 pbc="T T T"
Ag 0.000 0.000 0.000
Ir 1.795 1.795 2.577
S 0.000 0.000 2.577
S 1.795 1.795 0.000
```

Properties
The final energy is -4.66 eV per atom. Its size of the total moment is 0.0 μB per formula unit. As for the space group: No. 123.

***

Entry 17:
First-principles (PBE) data for an optimized crystal structure of AgIrS2, as listed in Alexandria via LeMat-Bulk.

Cell and atoms, written as extended XYZ:
```
32
Lattice="3.736 -6.269 0.000 3.736 6.269 0.000 -0.569 0.000 12.516" Properties=species:S:1:pos:R:3 pbc="T T T"
Ag 3.225 5.410 7.410
Ag 3.394 5.410 11.364
Ag 2.110 2.710 11.440
Ag 4.509 2.710 7.335
Ag 2.395 -2.710 5.182
Ag 4.793 -2.710 1.076
Ag 3.510 -5.410 1.152
Ag 3.678 -5.410 5.106
Ir 1.477 0.875 8.264
Ir 3.394 2.301 1.767
Ir 1.761 -0.875 2.006
Ir 3.794 2.301 4.491
Ir 3.109 -2.301 8.026
Ir 5.143 0.875 10.510
Ir 3.510 -2.301 10.749
Ir 5.427 -0.875 4.252
S 2.385 3.708 5.732
S 3.594 4.292 3.129
S 1.813 1.188 3.155
S 2.845 0.477 0.442
S 3.310 1.935 9.387
S 4.803 3.708 0.526
S 1.529 -1.188 9.413
S 2.561 -0.477 6.700
S 4.343 0.477 5.817
S 5.375 1.188 3.103
S 2.101 -3.708 11.991
S 3.594 -1.935 3.129
S 4.059 -0.477 12.075
S 5.091 -1.188 9.361
S 3.310 -4.292 9.387
S 4.519 -3.708 6.784
```

Properties
The final energy is -4.99 eV per atom. Its size of the total moment is 0.0 μB per formula unit. As for the space group: No. 15.

***

Entry 18:
First-principles (PBE) data for an optimized crystal structure of AgIrS2, as listed in Alexandria via LeMat-Bulk.

Cell and atoms, written as extended XYZ:
```
8
Lattice="3.332 -3.704 0.000 3.332 3.704 0.000 -3.324 0.000 5.786" Properties=species:S:1:pos:R:3 pbc="T T T"
Ag 1.670 2.788 2.893
Ag 3.332 -2.788 0.000
Ir 2.793 0.928 0.005
Ir 1.131 -0.928 2.898
S -0.464 1.269 3.447
S 1.198 -1.269 0.554
S 2.858 0.589 2.347
S 1.196 -0.589 5.240
```

Properties
The final energy is -4.97 eV per atom. Its size of the total moment is 0.0 μB per formula unit. As for the space group: No. 9.

***

Entry 19:
First-principles (PBE) data for an optimized crystal structure of AgIrS2, as listed in Alexandria via LeMat-Bulk.

Cell and atoms, written as extended XYZ:
```
4
Lattice="1.936 1.118 6.389 -1.936 1.118 6.389 0.000 -2.235 6.389" Properties=species:S:1:pos:R:3 pbc="T T T"
Ag 0.000 0.000 0.000
Ir 0.000 0.000 9.798
S 0.000 0.000 7.565
S 0.000 0.000 16.716
```

Properties
The final energy is -4.90 eV per atom. Its size of the total moment is 0.0 μB per formula unit. As for the space group: No. 160.

***

Entry 20:
First-principles (PBE) data for an optimized crystal structure of AgIrS2, as listed in Alexandria via LeMat-Bulk.

Cell and atoms, written as extended XYZ:
```
32
Lattice="5.542 -4.513 0.000 5.542 4.513 0.000 -3.445 0.000 12.274" Properties=species:S:1:pos:R:3 pbc="T T T"
Ag 0.099 1.580 10.611
Ag 3.102 2.860 7.341
Ag 2.814 2.860 11.070
Ag 1.821 -1.580 4.475
Ag 5.817 1.580 7.799
Ag 4.825 -2.860 1.204
Ag 4.536 -2.860 4.933
Ag 7.540 -1.580 1.662
Ir 3.327 2.473 4.254
Ir 3.002 0.403 2.490
Ir 6.033 2.473 1.883
Ir 1.280 -0.403 8.627
Ir 6.358 0.403 3.647
Ir 1.605 -2.473 10.391
Ir 4.636 -0.403 9.783
Ir 4.311 -2.473 8.020
S 4.680 3.842 3.068
S -0.335 0.121 7.055
S 1.609 0.956 4.337
S 1.387 -0.121 0.918
S 4.364 1.342 0.854
S -0.114 -0.956 10.474
S 2.958 1.055 9.205
S 4.997 1.342 5.283
S 2.641 -1.342 6.990
S 4.680 -1.055 3.068
S 7.752 0.956 1.800
S 3.275 -1.342 11.420
S 6.251 0.121 11.356
S 6.029 -0.956 7.936
S 7.974 -0.121 5.219
S 2.958 -3.842 9.205
```

Properties
The final energy is -4.95 eV per atom. Its size of the total moment is 0.0 μB per formula unit. As for the space group: No. 15.

***

Entry 21:
First-principles (PBE) data for an optimized crystal structure of AgIrS2, as listed in Alexandria via LeMat-Bulk.

Cell and atoms, written as extended XYZ:
```
16
Lattice="6.027 0.000 0.000 0.000 3.533 0.000 0.000 0.000 13.244" Properties=species:S:1:pos:R:3 pbc="T T T"
Ag 1.100 0.883 2.044
Ag 1.913 2.650 8.666
Ag 4.114 0.883 4.577
Ag 4.927 2.650 11.199
Ir 0.295 2.650 5.086
Ir 2.719 0.883 11.708
Ir 3.308 2.650 1.536
Ir 5.732 0.883 8.158
S 0.637 0.883 10.466
S 1.241 0.883 6.325
S 1.773 2.650 12.947
S 2.376 2.650 3.844
S 3.651 0.883 9.400
S 4.254 0.883 0.296
S 4.786 2.650 6.918
S 5.390 2.650 2.778
```

Properties
The final energy is -4.97 eV per atom. Its size of the total moment is 0.0 μB per formula unit. As for the space group: No. 62.